## LiNpCoO4 (PBE+U)

Data for a geometry-optimized LiNpCoO4 structure.

a = 6.274 Å, b = 6.274 Å, c = 6.274 Å
α = 121.59°, β = 113.32°, γ = 94.60°
Sites, in units of the cell vectors:
Li  0.378  0.128  0.250
Li  0.622  0.872  0.750
Np  0.000  0.500  0.500
Np  0.500  0.500  0.000
Co  0.000  0.000  0.500
Co  0.000  0.500  0.000
O  0.209  0.740  0.469
O  0.229  0.260  0.969
O  0.251  0.275  0.524
O  0.251  0.727  0.976
O  0.749  0.273  0.024
O  0.749  0.725  0.476
O  0.771  0.740  0.031
O  0.791  0.260  0.531

Output
Total moment in μB per cell: 10.016
DOS(E_F) in states/eV/atom: 0.321
Calculated total energy in eV/f.u.: -55.1
Space-group type: Imma
V in Å³/f.u.: 90